PBE TaSi3Te, optimized geometry; final energy = -4.3166 eV/atom; distance to the lowest polymorph of the same formula = 1158 meV/atom; formation energy from raw total energies = 1936.1 meV per atom; total magnetic moment = 0.0 Bohr magnetons per cell
1.0
4.9446 0.0000 0.0000
0.0000 4.9446 0.0000
0.0000 0.0000 4.9446
Ta Si Te
1 3 1
Cartesian
0.0000 0.0000 0.0000
0.0000 2.4723 2.4723
2.4723 0.0000 2.4723
2.4723 2.4723 0.0000
2.4723 2.4723 2.4723